No. 1
Computed, not measured: a relaxed BeNi2Pb crystal at the GGA-PBEsol level of DFT. Values from VASP.

Calculated values
E ... -4.89 eV per atom
Density of states at the Fermi level ... 1.7 states/eV per cell
Space-group type ... I-4m2

The structure in Quantum ESPRESSO input format:
```
&SYSTEM
  ibrav = 0, nat = 4, ntyp = 3
/
ATOMIC_SPECIES
Be 9.01 Be.upf
Ni 58.69 Ni.upf
Pb 207.20 Pb.upf
CELL_PARAMETERS angstrom
3.644 0.000 0.000
0.000 3.644 0.000
-1.822 -1.822 3.898
ATOMIC_POSITIONS crystal
Be 0.250 0.750 0.500
Ni 0.750 0.250 0.500
Pb 0.500 0.500 0.000
Ni 0.000 0.000 0.000
```

=====

No. 2
Computed, not measured: a relaxed KSr3 crystal at the GGA-PBEsol level of DFT. Values from VASP.

Calculated values
E ... -1.61 eV per atom
Density of states at the Fermi level ... 3.8 states/eV per cell
Space-group type ... P-6m2

The structure in Quantum ESPRESSO input format:
```
&SYSTEM
  ibrav = 0, nat = 4, ntyp = 2
/
ATOMIC_SPECIES
K 39.10 K.upf
Sr 87.62 Sr.upf
CELL_PARAMETERS angstrom
4.238 0.000 0.000
-2.119 3.670 0.000
0.000 0.000 14.268
ATOMIC_POSITIONS crystal
K 0.000 0.000 0.000
Sr 0.000 0.000 0.500
Sr 0.333 0.667 0.262
Sr 0.333 0.667 0.738
```

=====

No. 3
Computed, not measured: a relaxed Ni2SeBr crystal at the GGA-PBEsol level of DFT. Values from VASP.

Calculated values
E ... -4.47 eV per atom
Density of states at the Fermi level ... 3.3 states/eV per cell
Space-group type ... Pmmm

The structure in Quantum ESPRESSO input format:
```
&SYSTEM
  ibrav = 0, nat = 4, ntyp = 3
/
ATOMIC_SPECIES
Se 78.96 Se.upf
Br 79.90 Br.upf
Ni 58.69 Ni.upf
CELL_PARAMETERS angstrom
3.126 0.000 0.000
0.000 3.241 0.000
0.000 0.000 6.276
ATOMIC_POSITIONS crystal
Se 0.500 0.000 0.000
Br 0.500 0.500 0.500
Ni 0.000 0.500 0.811
Ni 0.000 0.500 0.189
```

=====

No. 4
Computed, not measured: a relaxed Li6Ag7 crystal at the GGA-PBEsol level of DFT. Values from VASP.

Calculated values
E ... -2.81 eV per atom
Density of states at the Fermi level ... 3.6 states/eV per cell
Space-group type ... R-3m

The structure in Quantum ESPRESSO input format:
```
&SYSTEM
  ibrav = 0, nat = 13, ntyp = 2
/
ATOMIC_SPECIES
Ag 107.87 Ag.upf
Li 6.94 Li.upf
CELL_PARAMETERS angstrom
-0.129 -4.705 -2.699
-0.030 -4.692 2.726
-9.208 -2.977 0.175
ATOMIC_POSITIONS crystal
Ag 0.585 0.083 0.746
Li 0.947 0.947 0.160
Li 0.053 0.053 0.840
Ag 0.585 0.585 0.746
Li 0.668 0.668 0.997
Ag 0.415 0.917 0.254
Li 0.332 0.332 0.003
Ag 0.083 0.585 0.746
Ag 0.415 0.415 0.254
Li 0.157 0.157 0.528
Li 0.843 0.843 0.472
Ag 0.917 0.415 0.254
Ag 0.500 0.500 0.500
```

=====

No. 5
Computed, not measured: a relaxed Ca2Os crystal at the GGA-PBEsol level of DFT. Values from VASP.

Calculated values
E ... -4.93 eV per atom
Density of states at the Fermi level ... 2.8 states/eV per cell
Space-group type ... P-3m1

The structure in Quantum ESPRESSO input format:
```
&SYSTEM
  ibrav = 0, nat = 3, ntyp = 2
/
ATOMIC_SPECIES
Ca 40.08 Ca.upf
Os 190.23 Os.upf
CELL_PARAMETERS angstrom
3.032 0.000 0.000
0.000 4.923 0.000
0.000 -2.461 4.263
ATOMIC_POSITIONS crystal
Ca 0.297 0.667 0.333
Ca 0.703 0.333 0.667
Os 0.000 0.000 0.000
```

=====

No. 6
Computed, not measured: a relaxed MgCrB3 crystal at the GGA-PBEsol level of DFT. Values from VASP.

Calculated values
E ... -5.93 eV per atom
Density of states at the Fermi level ... 2.2 states/eV per cell
Space-group type ... Pm-3m

The structure in Quantum ESPRESSO input format:
```
&SYSTEM
  ibrav = 0, nat = 5, ntyp = 3
/
ATOMIC_SPECIES
Cr 52.00 Cr.upf
B 10.81 B.upf
Mg 24.30 Mg.upf
CELL_PARAMETERS angstrom
3.843 0.000 0.000
0.000 3.843 0.000
0.000 0.000 3.843
ATOMIC_POSITIONS crystal
Cr 0.000 0.000 0.000
B 0.000 0.000 0.500
B 0.500 0.000 0.000
B 0.000 0.500 0.000
Mg 0.500 0.500 0.500
```

=====

No. 7
Computed, not measured: a relaxed HPbN2F crystal at the GGA-PBEsol level of DFT. Values from VASP.

Calculated values
E ... -3.77 eV per atom
Density of states at the Fermi level ... 1.6 states/eV per cell
Space-group type ... P4/mmm

The structure in Quantum ESPRESSO input format:
```
&SYSTEM
  ibrav = 0, nat = 5, ntyp = 4
/
ATOMIC_SPECIES
Pb 207.20 Pb.upf
H 1.01 H.upf
N 14.01 N.upf
F 19.00 F.upf
CELL_PARAMETERS angstrom
-2.981 1.731 2.840
2.741 -0.874 3.409
1.877 4.018 -0.479
ATOMIC_POSITIONS crystal
Pb 0.000 0.000 0.000
H 0.500 0.500 0.500
N 0.000 0.500 0.000
F 0.500 0.000 0.000
N 0.000 0.000 0.500
```

=====

No. 8
Computed, not measured: a relaxed AlHg2Sb crystal at the GGA-PBEsol level of DFT. Values from VASP.

Calculated values
E ... -2.37 eV per atom
Density of states at the Fermi level ... 1.9 states/eV per cell
Space-group type ... P4/mmm

The structure in Quantum ESPRESSO input format:
```
&SYSTEM
  ibrav = 0, nat = 4, ntyp = 3
/
ATOMIC_SPECIES
Hg 200.59 Hg.upf
Al 26.98 Al.upf
Sb 121.76 Sb.upf
CELL_PARAMETERS angstrom
-0.439 -3.067 -2.698
1.552 -2.635 2.744
-5.271 -1.013 2.008
ATOMIC_POSITIONS crystal
Hg 0.500 0.500 0.125
Al 0.500 0.500 0.625
Hg 0.000 0.000 0.125
Sb 0.000 0.000 0.625
```

=====

No. 9
Computed, not measured: a relaxed NiSn3Hg crystal at the GGA-PBEsol level of DFT. Values from VASP.

Calculated values
E ... -3.86 eV per atom
Density of states at the Fermi level ... 2.5 states/eV per cell
Space-group type ... Pm-3m

The structure in Quantum ESPRESSO input format:
```
&SYSTEM
  ibrav = 0, nat = 5, ntyp = 3
/
ATOMIC_SPECIES
Hg 200.59 Hg.upf
Sn 118.71 Sn.upf
Ni 58.69 Ni.upf
CELL_PARAMETERS angstrom
4.937 0.000 0.000
0.000 4.937 0.000
0.000 0.000 4.937
ATOMIC_POSITIONS crystal
Hg 0.500 0.500 0.500
Sn 0.000 0.500 0.000
Ni 0.000 0.000 0.000
Sn 0.000 0.000 0.500
Sn 0.500 0.000 0.000
```

=====

No. 10
Computed, not measured: a relaxed ZrPdOF2 crystal at the GGA-PBEsol level of DFT. Values from VASP.

Calculated values
E ... -6.98 eV per atom
Density of states at the Fermi level ... 3.9 states/eV per cell
Space-group type ... P4/mmm

The structure in Quantum ESPRESSO input format:
```
&SYSTEM
  ibrav = 0, nat = 5, ntyp = 4
/
ATOMIC_SPECIES
F 19.00 F.upf
Pd 106.42 Pd.upf
Zr 91.22 Zr.upf
O 16.00 O.upf
CELL_PARAMETERS angstrom
-0.508 -3.186 2.404
-0.098 -2.501 -3.335
4.135 -0.480 0.238
ATOMIC_POSITIONS crystal
F 0.000 0.500 0.000
Pd 0.500 0.500 0.500
Zr 0.000 0.000 0.000
F 0.000 0.000 0.500
O 0.500 0.000 0.000
```

=====

No. 11
Computed, not measured: a relaxed Co2TcSe crystal at the GGA-PBEsol level of DFT. Values from VASP.

Calculated values
E ... -7.44 eV per atom
Density of states at the Fermi level ... 4.4 states/eV per cell
Space-group type ... Pmmm

The structure in Quantum ESPRESSO input format:
```
&SYSTEM
  ibrav = 0, nat = 4, ntyp = 3
/
ATOMIC_SPECIES
Co 58.93 Co.upf
Tc 98.00 Tc.upf
Se 78.96 Se.upf
CELL_PARAMETERS angstrom
-2.540 1.106 -0.315
-1.288 -2.303 2.305
0.948 3.253 3.779
ATOMIC_POSITIONS crystal
Co 0.000 0.000 0.263
Co 0.000 0.000 0.737
Tc 0.500 0.500 0.500
Se 0.500 0.500 0.000
```

=====

No. 12
Computed, not measured: a relaxed SrHg11 crystal at the GGA-PBEsol level of DFT. Values from VASP.

Calculated values
E ... -0.84 eV per atom
Density of states at the Fermi level ... 15.5 states/eV per cell
Space-group type ... Pm-3m

The structure in Quantum ESPRESSO input format:
```
&SYSTEM
  ibrav = 0, nat = 36, ntyp = 2
/
ATOMIC_SPECIES
Hg 200.59 Hg.upf
Sr 87.62 Sr.upf
CELL_PARAMETERS angstrom
9.537 0.000 0.000
0.000 9.537 0.000
0.000 0.000 9.537
ATOMIC_POSITIONS crystal
Hg 0.000 0.344 0.656
Hg 0.154 0.846 0.846
Hg 0.500 0.267 0.733
Hg 0.500 0.733 0.267
Hg 0.500 0.267 0.267
Hg 0.344 0.344 0.000
Hg 0.656 0.000 0.344
Hg 0.846 0.846 0.154
Hg 0.500 0.500 0.500
Hg 0.267 0.267 0.500
Hg 0.733 0.267 0.500
Hg 0.846 0.846 0.846
Hg 0.000 0.656 0.656
Hg 0.154 0.846 0.154
Hg 0.733 0.500 0.267
Hg 0.000 0.344 0.344
Hg 0.656 0.344 0.000
Hg 0.154 0.154 0.154
Hg 0.000 0.656 0.344
Sr 0.000 0.000 0.500
Hg 0.344 0.656 0.000
Hg 0.267 0.733 0.500
Sr 0.500 0.000 0.000
Hg 0.267 0.500 0.267
Hg 0.846 0.154 0.846
Hg 0.656 0.000 0.656
Hg 0.656 0.656 0.000
Hg 0.344 0.000 0.656
Hg 0.500 0.733 0.733
Hg 0.154 0.154 0.846
Hg 0.267 0.500 0.733
Hg 0.733 0.500 0.733
Sr 0.000 0.500 0.000
Hg 0.846 0.154 0.154
Hg 0.344 0.000 0.344
Hg 0.733 0.733 0.500
```

=====

No. 13
Computed, not measured: a relaxed KCdTc2 crystal at the GGA-PBEsol level of DFT. Values from VASP.

Calculated values
E ... -5.12 eV per atom
Density of states at the Fermi level ... 4.2 states/eV per cell
Space-group type ... Immm

The structure in Quantum ESPRESSO input format:
```
&SYSTEM
  ibrav = 0, nat = 4, ntyp = 3
/
ATOMIC_SPECIES
Cd 112.41 Cd.upf
Tc 98.00 Tc.upf
K 39.10 K.upf
CELL_PARAMETERS angstrom
-0.532 1.957 1.818
-4.734 -0.122 -1.254
1.706 -4.769 3.593
ATOMIC_POSITIONS crystal
Cd 0.500 0.000 0.000
Tc 0.225 0.225 0.450
K 0.000 0.500 0.000
Tc 0.775 0.775 0.550
```

=====

No. 14
Computed, not measured: a relaxed ReIrAu2 crystal at the GGA-PBEsol level of DFT. Values from VASP.

Calculated values
E ... -7.23 eV per atom
Density of states at the Fermi level ... 2.8 states/eV per cell
Space-group type ... P4/mmm

The structure in Quantum ESPRESSO input format:
```
&SYSTEM
  ibrav = 0, nat = 4, ntyp = 3
/
ATOMIC_SPECIES
Au 196.97 Au.upf
Re 186.21 Re.upf
Ir 192.22 Ir.upf
CELL_PARAMETERS angstrom
2.788 0.000 0.000
0.000 2.788 0.000
0.000 0.000 7.903
ATOMIC_POSITIONS crystal
Au 0.000 0.000 0.252
Re 0.500 0.500 0.500
Au 0.000 0.000 0.748
Ir 0.500 0.500 0.000
```

=====

No. 15
Computed, not measured: a relaxed ReP3O crystal at the GGA-PBEsol level of DFT. Values from VASP.

Calculated values
E ... -6.29 eV per atom
Density of states at the Fermi level ... 3.9 states/eV per cell
Space-group type ... Pm-3m

The structure in Quantum ESPRESSO input format:
```
&SYSTEM
  ibrav = 0, nat = 5, ntyp = 3
/
ATOMIC_SPECIES
P 30.97 P.upf
Re 186.21 Re.upf
O 16.00 O.upf
CELL_PARAMETERS angstrom
4.507 0.000 0.000
0.000 4.507 0.000
0.000 0.000 4.507
ATOMIC_POSITIONS crystal
P 0.000 0.000 0.500
P 0.000 0.500 0.000
Re 0.000 0.000 0.000
P 0.500 0.000 0.000
O 0.500 0.500 0.500
```

=====

No. 16
Computed, not measured: a relaxed CoTeMo2 crystal at the GGA-PBEsol level of DFT. Values from VASP.

Calculated values
E ... -8.45 eV per atom
Density of states at the Fermi level ... 3.7 states/eV per cell
Space-group type ... P4mm

The structure in Quantum ESPRESSO input format:
```
&SYSTEM
  ibrav = 0, nat = 4, ntyp = 3
/
ATOMIC_SPECIES
Mo 95.94 Mo.upf
Co 58.93 Co.upf
Te 127.60 Te.upf
CELL_PARAMETERS angstrom
-1.774 -2.320 1.380
2.557 -0.916 1.748
-1.590 3.779 4.308
ATOMIC_POSITIONS crystal
Mo 0.500 0.500 0.238
Co 0.500 0.500 0.790
Mo 0.000 0.000 0.968
Te 0.000 0.000 0.504
```

=====

No. 17
Computed, not measured: a relaxed Si3B crystal at the GGA-PBEsol level of DFT. Values from VASP.

Calculated values
E ... -5.27 eV per atom
Density of states at the Fermi level ... 3.1 states/eV per cell
Space-group type ... P6_3/mmc

The structure in Quantum ESPRESSO input format:
```
&SYSTEM
  ibrav = 0, nat = 8, ntyp = 2
/
ATOMIC_SPECIES
B 10.81 B.upf
Si 28.09 Si.upf
CELL_PARAMETERS angstrom
-3.039 0.406 3.153
2.590 -3.125 2.899
0.877 4.906 0.214
ATOMIC_POSITIONS crystal
B 0.250 0.667 0.333
Si 0.250 0.662 0.831
Si 0.750 0.338 0.169
B 0.750 0.333 0.667
Si 0.750 0.831 0.662
Si 0.750 0.831 0.169
Si 0.250 0.169 0.831
Si 0.250 0.169 0.338
```

=====

No. 18
Computed, not measured: a relaxed MgHgBi2 crystal at the GGA-PBEsol level of DFT. Values from VASP.

Calculated values
E ... -2.68 eV per atom
Density of states at the Fermi level ... 2.5 states/eV per cell
Space-group type ... Fm-3m

The structure in Quantum ESPRESSO input format:
```
&SYSTEM
  ibrav = 0, nat = 4, ntyp = 3
/
ATOMIC_SPECIES
Hg 200.59 Hg.upf
Bi 208.98 Bi.upf
Mg 24.30 Mg.upf
CELL_PARAMETERS angstrom
5.306 0.000 0.000
2.653 4.596 0.000
2.653 1.532 4.333
ATOMIC_POSITIONS crystal
Hg 0.500 0.500 0.500
Bi 0.250 0.250 0.250
Bi 0.750 0.750 0.750
Mg 0.000 0.000 0.000
```

=====

No. 19
Computed, not measured: a relaxed YHfBr2 crystal at the GGA-PBEsol level of DFT. Values from VASP.

Calculated values
E ... -5.95 eV per atom
Density of states at the Fermi level ... 3.5 states/eV per cell
Space-group type ... R-3m

The structure in Quantum ESPRESSO input format:
```
&SYSTEM
  ibrav = 0, nat = 4, ntyp = 3
/
ATOMIC_SPECIES
Y 88.91 Y.upf
Br 79.90 Br.upf
Hf 178.49 Hf.upf
CELL_PARAMETERS angstrom
3.401 0.000 0.000
1.700 2.945 0.000
1.700 0.982 9.540
ATOMIC_POSITIONS crystal
Y 0.500 0.500 0.500
Br 0.907 0.907 0.280
Br 0.093 0.093 0.720
Hf 0.000 0.000 0.000
```

=====

No. 20
Computed, not measured: a relaxed KCd2Au crystal at the GGA-PBEsol level of DFT. Values from VASP.

Calculated values
E ... -1.82 eV per atom
Density of states at the Fermi level ... 1.4 states/eV per cell
Space-group type ... I-4m2

The structure in Quantum ESPRESSO input format:
```
&SYSTEM
  ibrav = 0, nat = 4, ntyp = 3
/
ATOMIC_SPECIES
K 39.10 K.upf
Au 196.97 Au.upf
Cd 112.41 Cd.upf
CELL_PARAMETERS angstrom
-4.564 -1.961 -1.076
4.055 -3.106 0.462
-1.938 2.244 4.128
ATOMIC_POSITIONS crystal
K 0.500 0.000 0.500
Au 0.250 0.500 0.750
Cd 0.750 0.500 0.250
Cd 0.000 0.000 0.000
```